(1)
VASP calculation (PBE-GGA) on a geometry-optimized LaSi2Sb structure.

It has space group R-3m (No. 166, hexagonal axes), with a = 4.7514 Å, b = 4.7514 Å, c = 14.9100 Å, α = 90.00°, β = 90.00° and γ = 120.00°. Symmetry generates all atoms from La at (0.0000, 0.0000, 0.0000), Si at (0.0000, 0.0000, 0.2089) and Sb at (0.0000, 0.0000, 0.5000).

The calculated total energy comes out at -5.11 eV/atom. The volume comes out at 24.29 A^3/atom. The formation energy without anion corrections comes out at -0.1333 eV/atom. The calculation puts the density of states at the Fermi level at 0.8422 states/eV per atom. The total moment comes out at 0.00 μB/f.u.

(2)
VASP calculation (PBE-GGA) on a geometry-optimized LaSiSb3 structure.

It has space group Pm-3m (No. 221), with a = 5.9878 Å, b = 5.9878 Å, c = 5.9878 Å, α = 90.00°, β = 90.00° and γ = 90.00°. Symmetry generates all atoms from La at (0.0000, 0.0000, 0.0000), Si at (0.5000, 0.5000, 0.5000) and Sb at (0.0000, 0.0000, 0.5000).

The calculated total energy comes out at -3.54 eV/atom. The volume comes out at 42.94 A^3/atom. The formation energy without anion corrections comes out at 1.0060 eV/atom. The calculation puts the density of states at the Fermi level at 1.2499 states/eV per atom. The total moment comes out at 0.00 μB/f.u.

(3)
VASP calculation (PBE-GGA) on a geometry-optimized La2SiSb2 structure.

It has space group P4/mbm (No. 127), with a = 8.0439 Å, b = 8.0439 Å, c = 4.5488 Å, α = 90.00°, β = 90.00° and γ = 90.00°. Symmetry generates all atoms from La at (0.1595, 0.3405, 0.0000), Si at (0.0000, 0.0000, 0.5000) and Sb at (0.1518, 0.6518, 0.5000).

The calculated total energy comes out at -5.37 eV/atom. The volume comes out at 29.43 A^3/atom. The formation energy without anion corrections comes out at -0.6641 eV/atom. The calculation puts the density of states at the Fermi level at 0.2149 states/eV per atom. The total moment comes out at 0.00 μB/f.u.

(4)
VASP calculation (PBE-GGA) on a geometry-optimized LaSi4Sb structure.

It has space group F-43m (No. 216), with a = 7.7593 Å, b = 7.7593 Å, c = 7.7593 Å, α = 90.00°, β = 90.00° and γ = 90.00°. Symmetry generates all atoms from La at (0.0000, 0.0000, 0.0000), Si at (0.1186, 0.1186, 0.3814) and Sb at (0.2500, 0.2500, 0.7500).

The calculated total energy comes out at -5.17 eV/atom. The volume comes out at 19.47 A^3/atom. The formation energy without anion corrections comes out at -0.0440 eV/atom. The calculation puts the density of states at the Fermi level at 0.7074 states/eV per atom. The total moment comes out at 0.00 μB/f.u.